1.
DFT (PBE-GGA) results for a relaxed AcPr2MoN4 crystal.

Values from the calculation:
Total moment in μB/f.u.: 0.00
Formation energy (no corrections) in eV per atom: -0.94
V in Å³ per atom: 17.45

Cell: 3.5897 12.4862 12.4587 Å, 90.00 90.00 90.00°
Space group Cmcm (No. 63)
Unique sites:
Ac1 0.0000 0.0835 0.2500 (multiplicity 4)
Pr1 0.0000 0.3694 0.0408 (multiplicity 8)
Mo1 0.0000 0.1753 0.7500 (multiplicity 4)
N1 0.0000 0.0000 0.0000 (multiplicity 4)
N2 0.0000 0.2662 0.6283 (multiplicity 8)
N3 0.0000 0.4217 0.2500 (multiplicity 4)

***

2.
DFT (PBE-GGA) results for a relaxed HoTeO crystal.

Values from the calculation:
Total moment in μB/f.u.: 0.40
Formation energy (no corrections) in eV per atom: -1.53
V in Å³ per atom: 24.11

Cell: 3.6085 3.6085 12.8258 Å, 90.00 90.00 120.00°
Space group P-6m2 (No. 187)
Unique sites:
Ho1 0.0000 0.0000 0.0000 (multiplicity 1)
Ho2 0.3333 0.6667 0.5000 (multiplicity 1)
Te1 0.0000 0.0000 0.3270 (multiplicity 2)
O1 0.3333 0.6667 0.0827 (multiplicity 2)

***

3.
DFT (PBE-GGA) results for a relaxed SmU5C6 crystal.

Values from the calculation:
Total moment in μB/f.u.: 0.01
DFT formation energy in kJ/mol of formula units: -141
V in Å³ per atom: 15.38

Cell: 6.0980 10.4968 6.1134 Å, 90.00 109.37 90.00°
Space group C2/m (No. 12)
Unique sites:
Sm1 0.0000 0.0000 0.0000 (multiplicity 2)
U1 0.0000 0.1611 0.5000 (multiplicity 4)
U2 0.0000 0.3312 0.0000 (multiplicity 4)
U3 0.0000 0.5000 0.5000 (multiplicity 2)
C1 0.2219 0.5000 0.2505 (multiplicity 4)
C2 0.2321 0.3221 0.7325 (multiplicity 8)

***

4.
DFT (PBE-GGA) results for a relaxed MnCd4Si crystal.

Values from the calculation:
Total moment in μB/f.u.: 4.08
Formation energy (no corrections) in eV per atom: 0.51
V in Å³ per atom: 21.62

Cell: 8.0358 8.0358 8.0358 Å, 90.00 90.00 90.00°
Space group F-43m (No. 216)
Unique sites:
Mn1 0.0000 0.0000 0.0000 (multiplicity 4)
Cd1 0.1253 0.1253 0.3747 (multiplicity 16)
Si1 0.2500 0.2500 0.7500 (multiplicity 4)

***

5.
DFT (PBE-GGA) results for a relaxed NaGa8Ag6 crystal.

Values from the calculation:
Total moment in μB/f.u.: 0.00
DFT formation energy in kJ/mol of formula units: -17
V in Å³ per atom: 18.96

Cell: 7.8715 7.8715 15.9029 Å, 90.00 90.00 120.00°
Space group R-3 (No. 148, hexagonal axes)
Unique sites:
Na1 0.0000 0.0000 0.0000 (multiplicity 3)
Ga1 0.0000 0.0000 0.2221 (multiplicity 6)
Ga2 0.0022 0.3423 0.8051 (multiplicity 18)
Ag1 0.0318 0.2346 0.6389 (multiplicity 18)

***

6.
DFT (PBE-GGA) results for a relaxed TiSbBr crystal.

Values from the calculation:
Total moment in μB/f.u.: 0.00
Formation energy (no corrections) in eV per atom: -0.51
V in Å³ per atom: 39.37

Cell: 5.1668 5.2493 8.8437 Å, 87.03 86.75 80.85°
Space group P-1 (No. 2)
Unique sites:
Ti1 0.2282 0.2269 0.4011 (multiplicity 2)
Sb1 0.2796 0.7212 0.4916 (multiplicity 2)
Br1 0.2404 0.2449 0.1365 (multiplicity 2)